VASP calculation (GGA-PBE) on a geometry-optimized Hf3Ga2Tc3Ge structure.

Unit cell a=3.208 b=7.411 c=7.411 alpha=120.00 beta=90.00 gamma=90.00
Fractional positions:
Hf 0.500 0.718 0.000
Hf 0.500 0.000 0.718
Hf 0.500 0.282 0.282
Ga 0.500 0.667 0.333
Ga 0.500 0.333 0.667
Tc 0.000 0.615 0.615
Tc 0.000 0.000 0.385
Tc 0.000 0.385 0.000
Ge 0.000 0.000 0.000

Values from the calculation:
Its space-group type is No. 189. The energy of formation is -259 meV per atom. As for the total energy: -74.0 eV/f.u.